*1*
! HfReSe2, optimized geometry, DFT PBE; values from VASP
&SYSTEM
  ibrav = 0, nat = 8, ntyp = 3
/
ATOMIC_SPECIES
Hf 178.49 Hf.upf
Re 186.21 Re.upf
Se 78.96 Se.upf
ATOMIC_POSITIONS crystal
Hf 0.250 0.750 0.500
Hf 0.500 0.500 0.000
Re 0.000 0.000 0.000
Re 0.750 0.250 0.500
Se 0.875 0.901 0.750
Se 0.651 0.125 0.250
Se 0.375 0.349 0.750
Se 0.099 0.625 0.250
CELL_PARAMETERS angstrom
4.631 0.000 0.000
0.000 4.631 0.000
2.316 2.316 7.777
! V, Å³ per atom: 20.85
! DOS at the Fermi energy, states/eV per atom: 0.762



*2*
! HfReSe2, optimized geometry, DFT PBE; values from VASP
&SYSTEM
  ibrav = 0, nat = 4, ntyp = 3
/
ATOMIC_SPECIES
Se 78.96 Se.upf
Re 186.21 Re.upf
Hf 178.49 Hf.upf
ATOMIC_POSITIONS crystal
Se 0.250 0.250 0.250
Se 0.750 0.750 0.750
Re 0.500 0.500 0.500
Hf 0.000 0.000 0.000
CELL_PARAMETERS angstrom
0.252 -0.002 4.571
-2.160 3.236 2.413
-3.683 -1.080 2.495
! V, Å³ per atom: 16.96
! DOS at the Fermi energy, states/eV per atom: 1.172



Which structure is the most stable? The one labeled *2*.